First-principles (PBE-GGA) data for an optimized crystal structure of CaBeBi2Pd, as listed in Alexandria.

Values from the calculation:
Magnetic moment = 0.0 μB per formula unit
Energy of formation = 0.28 eV per atom
DFT total energy = -3.46 eV per atom
Calculated density = 7.5 g cm⁻³

a b c (Å): 4.959 5.176 4.959
angles (deg): 90.00 90.00 90.00
Sites, in units of the cell vectors:
Bi 0.500 0.000 0.000
Bi 0.000 0.000 0.500
Be 0.000 0.000 0.000
Ca 0.000 0.500 0.000
Pd 0.500 0.500 0.500

First-principles (PBE-GGA) data for an optimized crystal structure of LiY2PuS4, as listed in Alexandria.

Values from the calculation:
Magnetic moment = 5.8 μB per formula unit
DFT total energy = -7.57 eV per atom
Calculated density = 5.5 g cm⁻³
Formation energy without anion corrections = -1.86 eV per atom

a b c (Å): 3.917 6.769 6.784
angles (deg): 109.79 90.00 90.00
Last column: magnetic moment on the atom in μB.
Sites, in units of the cell vectors:
Pu 0.500 0.500 0.000  5.31
S 0.000 0.754 0.250  -0.04
Li 0.000 0.000 0.000  0.00
Y 0.000 0.500 0.500  0.08
Y 0.500 0.000 0.500  0.04
S 0.000 0.246 0.750  -0.04
S 0.500 0.755 0.751  -0.02
S 0.500 0.245 0.249  -0.02

First-principles (PBE-GGA) data for an optimized crystal structure of Sr3Zr2O7, as listed in Alexandria.

Values from the calculation:
Magnetic moment = 0.0 μB per formula unit
DFT total energy = -7.86 eV per atom
Calculated density = 5.0 g cm⁻³
Formation energy without anion corrections = -3.12 eV per atom

a b c (Å): 4.191 4.191 10.978
angles (deg): 101.00 101.00 90.00
Sites, in units of the cell vectors:
O 0.599 0.099 0.197
O 0.800 0.800 0.600
O 0.200 0.200 0.400
Sr 0.314 0.314 0.627
Zr 0.100 0.100 0.201
Zr 0.900 0.900 0.799
Sr 0.500 0.500 0.000
O 0.000 0.000 0.000
O 0.401 0.901 0.803
O 0.901 0.401 0.803
Sr 0.686 0.686 0.373
O 0.099 0.599 0.197

First-principles (PBE-GGA) data for an optimized crystal structure of Tb2MgI, as listed in Alexandria.

Values from the calculation:
Magnetic moment = 0.0 μB per formula unit
DFT total energy = -3.12 eV per atom
Calculated density = 6.0 g cm⁻³
Formation energy without anion corrections = -0.02 eV per atom

a b c (Å): 3.600 3.600 11.803
angles (deg): 81.23 81.23 60.00
Sites, in units of the cell vectors:
Tb 0.905 0.905 0.284
Mg 0.000 0.000 0.000
Tb 0.095 0.095 0.716
I 0.500 0.500 0.500

First-principles (PBE-GGA) data for an optimized crystal structure of Er2HfTh, as listed in Alexandria.

Values from the calculation:
Magnetic moment = 0.0 μB per formula unit
Energy of formation = 0.13 eV per atom
ΔE to the lowest computed polymorph = 0.020 eV per atom
DFT total energy = -6.50 eV per atom
Calculated density = 10.8 g cm⁻³

a b c (Å): 3.407 3.407 11.545
angles (deg): 81.52 81.52 60.00
Sites, in units of the cell vectors:
Th 0.501 0.501 0.498
Hf 0.666 0.666 0.001
Er 0.076 0.076 0.771
Er 0.256 0.256 0.231

First-principles (PBE-GGA) data for an optimized crystal structure of ZrOs2Cl2, as listed in Alexandria.

Values from the calculation:
Magnetic moment = 0.0 μB per formula unit
DFT total energy = -6.50 eV per atom
Calculated density = 9.8 g cm⁻³
Formation energy without anion corrections = 0.45 eV per atom

a b c (Å): 6.534 6.534 6.534
angles (deg): 144.80 144.80 50.63
Sites, in units of the cell vectors:
Cl 0.250 0.750 0.500
Cl 0.750 0.250 0.500
Os 0.402 0.402 0.000
Zr 0.000 0.000 0.000
Os 0.598 0.598 0.000

First-principles (PBE-GGA) data for an optimized crystal structure of TcSn6Pd, as listed in Alexandria.

Values from the calculation:
Magnetic moment = 0.0 μB per formula unit
Energy of formation = 0.11 eV per atom
DFT total energy = -4.83 eV per atom
Calculated density = 7.3 g cm⁻³

a b c (Å): 6.020 6.020 6.438
angles (deg): 100.37 100.37 110.63
Sites, in units of the cell vectors:
Pd 0.000 0.000 0.000
Tc 0.500 0.500 0.500
Sn 0.900 0.527 0.777
Sn 0.201 0.201 0.688
Sn 0.100 0.473 0.223
Sn 0.527 0.900 0.777
Sn 0.799 0.799 0.312
Sn 0.473 0.100 0.223

First-principles (PBE-GGA) data for an optimized crystal structure of HgSbAu2, as listed in Alexandria.

Values from the calculation:
Magnetic moment = 0.0 μB per formula unit
ΔE to the lowest computed polymorph = 0.135 eV per atom
DFT total energy = -2.59 eV per atom
Calculated density = 13.0 g cm⁻³
Formation energy without anion corrections = 0.16 eV per atom

a b c (Å): 3.396 3.396 8.784
angles (deg): 90.00 90.00 115.54
Sites, in units of the cell vectors:
Au 0.000 0.000 0.002
Hg 0.500 0.500 0.250
Au 0.000 0.000 0.498
Sb 0.500 0.500 0.750

First-principles (PBE-GGA) data for an optimized crystal structure of NbSi2Sn, as listed in Alexandria.

Values from the calculation:
Magnetic moment = 0.0 μB per formula unit
DFT total energy = -5.61 eV per atom
Calculated density = 4.2 g cm⁻³
Formation energy without anion corrections = 0.62 eV per atom

a b c (Å): 6.085 6.085 7.175
angles (deg): 64.91 64.91 90.00
Sites, in units of the cell vectors:
Nb 0.500 0.500 0.000
Si 0.144 0.625 0.250
Sn 0.750 0.250 0.500
Sn 0.000 0.000 0.000
Si 0.606 0.125 0.250
Si 0.875 0.856 0.750
Si 0.375 0.394 0.750
Nb 0.250 0.750 0.500

First-principles (PBE-GGA) data for an optimized crystal structure of CaMoIr3, as listed in Alexandria.

Values from the calculation:
Magnetic moment = 0.0 μB per formula unit
Energy of formation = 0.76 eV per atom
ΔE to the lowest computed polymorph = 0.000 eV per atom
DFT total energy = -7.13 eV per atom
Calculated density = 10.8 g cm⁻³

a b c (Å): 4.780 4.780 4.780
angles (deg): 90.00 90.00 90.00
Sites, in units of the cell vectors:
Ir 0.000 0.000 0.500
Mo 0.000 0.000 0.000
Ca 0.500 0.500 0.500
Ir 0.000 0.500 0.000
Ir 0.500 0.000 0.000

First-principles (PBE-GGA) data for an optimized crystal structure of Ca3Pu3ScS8, as listed in Alexandria.

Values from the calculation:
Magnetic moment = 17.0 μB per formula unit
DFT total energy = -7.79 eV per atom
Calculated density = 5.4 g cm⁻³
Formation energy without anion corrections = -1.90 eV per atom

a b c (Å): 7.938 7.938 7.998
angles (deg): 119.75 90.00 120.00
Last column: magnetic moment on the atom in μB.
Sites, in units of the cell vectors:
S 0.762 0.997 0.731  -0.06
S 0.238 0.003 0.269  -0.06
S 0.235 0.470 0.731  -0.06
S 0.749 0.498 0.746  -0.08
S 0.251 0.502 0.254  -0.08
Ca 0.000 0.000 0.000  0.04
Ca 0.000 0.500 0.000  0.04
Sc 0.000 0.000 0.500  0.15
S 0.765 0.530 0.269  -0.06
S 0.235 0.997 0.731  -0.06
Pu 0.000 0.500 0.500  5.31
Ca 0.500 0.500 0.000  0.04
Pu 0.500 0.000 0.500  5.31
S 0.765 0.003 0.269  -0.06
Pu 0.500 0.500 0.500  5.31

First-principles (PBE-GGA) data for an optimized crystal structure of NaThTi2O6, as listed in Alexandria.

Values from the calculation:
Magnetic moment = 0.0 μB per formula unit
DFT total energy = -8.44 eV per atom
Calculated density = 6.2 g cm⁻³
Formation energy without anion corrections = -3.01 eV per atom

a b c (Å): 3.922 3.922 7.816
angles (deg): 90.00 90.00 90.00
Sites, in units of the cell vectors:
O 0.500 0.000 0.717
O 0.000 0.000 0.000
Ti 0.000 0.000 0.244
O 0.500 0.000 0.283
O 0.000 0.500 0.717
O 0.000 0.000 0.500
O 0.000 0.500 0.283
Th 0.500 0.500 0.500
Na 0.500 0.500 0.000
Ti 0.000 0.000 0.756